The following is a DFT calculation (GGA+U) of a geometry-optimized V4BrO7 structure.

## Properties
SG: No. 31
Total DFT energy (no corrections), eV/atom: -7.329

Cell lengths 5.3855, 5.5132, 14.7167 Å; angles 90.00, 90.00, 90.00 degrees
Closest atoms and distances in Å follow each position.
Fractional positions:
O 0.8928 0.1265 0.3151  3 V 1.92-2.02
O 0.5859 0.3869 0.1741  2 V 1.74-1.89
O 0.3928 0.8735 0.8151  3 V 1.92-2.02
V 0.6354 0.6795 0.8900  4 O 1.80-2.02
O 0.5248 0.7743 0.0000  2 V 1.80
O 0.8543 0.8935 0.8270  3 V 1.91-1.98
Br 0.9608 0.4634 0.0000  2 V 2.67, 1 O 2.91
O 0.5859 0.3869 0.8259  2 V 1.74-1.89
O 0.3543 0.1065 0.3270  3 V 1.91-1.98
O 0.0248 0.2257 0.5000  2 V 1.80
V 0.1354 0.3205 0.6100  4 O 1.80-2.02
O 0.8928 0.1265 0.6849  3 V 1.92-2.02
Br 0.4608 0.5366 0.5000  2 V 2.67, 1 O 2.91
O 0.0859 0.6131 0.3259  2 V 1.74-1.89
V 0.6163 0.1152 0.2328  3 O 1.74-1.93
V 0.6163 0.1152 0.7672  3 O 1.74-1.93
O 0.0859 0.6131 0.6741  2 V 1.74-1.89
O 0.3543 0.1065 0.6730  3 V 1.91-1.98
V 0.6354 0.6795 0.1100  4 O 1.80-2.02
O 0.3928 0.8735 0.1849  3 V 1.92-2.02
V 0.1163 0.8848 0.2672  3 O 1.74-1.93
V 0.1354 0.3205 0.3900  4 O 1.80-2.02
V 0.1163 0.8848 0.7328  3 O 1.74-1.93
O 0.8543 0.8935 0.1730  3 V 1.91-1.98